DFT (PBE-GGA) results for CePr2ScAs4 after structural relaxation.

## Properties
Energy of formation (eV per atom): -1.4202

Unit cell a=7.2164 b=4.1884 c=7.2531 alpha=90.00 beta=109.41 gamma=90.00
Atoms (fractional coordinates):
Ce: 0.0000 0.0000 0.0000
Pr: 0.0000 0.5000 0.5000
Pr: 0.5000 0.0000 0.5000
Sc: 0.5000 0.5000 0.0000
As: 0.2526 0.5000 0.2350
As: 0.2638 0.0000 0.7708
As: 0.7362 0.0000 0.2292
As: 0.7474 0.5000 0.7650

=====

DFT (PBE-GGA) results for CePr2As2Se2 after structural relaxation.

## Properties
Formation energy without anion corrections (eV per atom): -1.20

Unit cell a=8.3936 b=8.3936 c=8.3936 alpha=142.20 beta=142.20 gamma=54.53
Atoms (fractional coordinates):
Ce: 0.0000 0.0000 0.0000
Pr: 0.3777 0.3777 0.0000
Pr: 0.6223 0.6223 0.0000
As: 0.0000 0.5000 0.5000
As: 0.5000 0.0000 0.5000
Se: 0.1898 0.1898 0.0000
Se: 0.8102 0.8102 0.0000

=====

DFT (PBE-GGA) results for CePrAsSe after structural relaxation.

## Properties
Formation energy without anion corrections (eV per atom): -1.69

Unit cell a=7.3985 b=7.3985 c=7.3985 alpha=33.39 beta=33.39 gamma=33.39
Atoms (fractional coordinates):
Ce: 0.0000 0.0000 0.0000
Pr: 0.5049 0.5049 0.5049
As: 0.2543 0.2543 0.2543
Se: 0.7507 0.7507 0.7507

=====

DFT (PBE-GGA) results for Ce2PrSm3As6 after structural relaxation.

## Properties
Energy of formation (eV per atom): -1.4959

Unit cell a=7.3279 b=7.3279 c=7.3220 alpha=99.60 beta=99.60 gamma=120.00
Atoms (fractional coordinates):
Ce: 0.1670 0.8330 0.0000
Ce: 0.8330 0.1670 0.0000
Pr: 0.5000 0.5000 0.0000
Sm: 0.0000 0.0000 0.5000
Sm: 0.3344 0.6656 0.5000
Sm: 0.6656 0.3344 0.5000
As: 0.0782 0.4166 0.7501
As: 0.2448 0.2448 0.2500
As: 0.4166 0.0782 0.7501
As: 0.5834 0.9218 0.2499
As: 0.7552 0.7552 0.7500
As: 0.9218 0.5834 0.2499

=====

DFT (PBE-GGA) results for Ce2Pr3SmAs6 after structural relaxation.

## Properties
Energy of formation (eV per atom): -1.4877

Unit cell a=7.3750 b=7.3750 c=7.3823 alpha=99.58 beta=99.58 gamma=120.00
Atoms (fractional coordinates):
Ce: 0.1668 0.8332 0.0000
Ce: 0.8332 0.1668 0.0000
Pr: 0.0000 0.0000 0.5000
Pr: 0.3337 0.6663 0.5000
Pr: 0.6663 0.3337 0.5000
Sm: 0.5000 0.5000 0.0000
As: 0.0838 0.4193 0.7581
As: 0.2452 0.2452 0.2424
As: 0.4193 0.0838 0.7581
As: 0.5807 0.9162 0.2419
As: 0.7548 0.7548 0.7576
As: 0.9162 0.5807 0.2419

=====

DFT (PBE-GGA) results for SrCePr2As4 after structural relaxation.

## Properties
Energy of formation (eV per atom): -1.3617

Unit cell a=7.4719 b=4.3216 c=7.4751 alpha=90.00 beta=109.09 gamma=90.00
Atoms (fractional coordinates):
Sr: 0.0000 0.0000 0.0000
Ce: 0.0000 0.5000 0.5000
Pr: 0.5000 0.0000 0.5000
Pr: 0.5000 0.5000 0.0000
As: 0.2459 0.0000 0.7388
As: 0.2516 0.5000 0.2646
As: 0.7484 0.5000 0.7354
As: 0.7541 0.0000 0.2612

=====

DFT (PBE-GGA) results for Sr2CePrAs4 after structural relaxation.

## Properties
Energy of formation (eV per atom): -1.2304

Unit cell a=7.5652 b=4.3562 c=7.6062 alpha=90.00 beta=109.40 gamma=90.00
Atoms (fractional coordinates):
Sr: 0.0000 0.0000 0.0000
Sr: 0.5000 0.5000 0.0000
Ce: 0.0000 0.5000 0.5000
Pr: 0.5000 0.0000 0.5000
As: 0.2336 0.0000 0.7231
As: 0.2502 0.5000 0.2715
As: 0.7498 0.5000 0.7285
As: 0.7664 0.0000 0.2769

=====

DFT (PBE-GGA) results for TbCe2PrAs4 after structural relaxation.

## Properties
Energy of formation (eV per atom): -1.4730

Unit cell a=7.3047 b=4.2203 c=7.3124 alpha=90.00 beta=109.48 gamma=90.00
Atoms (fractional coordinates):
Tb: 0.0000 0.0000 0.0000
Ce: 0.5000 0.0000 0.5000
Ce: 0.5000 0.5000 0.0000
Pr: 0.0000 0.5000 0.5000
As: 0.2508 0.5000 0.2452
As: 0.2547 0.0000 0.7567
As: 0.7453 0.0000 0.2433
As: 0.7492 0.5000 0.7548

=====

DFT (PBE-GGA) results for Tb3Ce2PrAs6 after structural relaxation.

## Properties
Energy of formation (eV per atom): -1.4984

Unit cell a=7.2654 b=7.2654 c=7.2518 alpha=99.61 beta=99.61 gamma=119.99
Atoms (fractional coordinates):
Tb: 0.0000 0.0000 0.0000
Tb: 0.3345 0.6655 0.0000
Tb: 0.6655 0.3345 0.0000
Ce: 0.1670 0.8330 0.5000
Ce: 0.8330 0.1670 0.5000
Pr: 0.5000 0.5000 0.5000
As: 0.0767 0.4149 0.2451
As: 0.2467 0.2467 0.7552
As: 0.4149 0.0767 0.2451
As: 0.5851 0.9233 0.7549
As: 0.7533 0.7533 0.2448
As: 0.9233 0.5851 0.7549

=====

DFT (PBE-GGA) results for TbCe3Pr2As6 after structural relaxation.

## Properties
Energy of formation (eV per atom): -1.4709

Unit cell a=7.3347 b=7.3347 c=7.3319 alpha=99.61 beta=99.61 gamma=120.00
Atoms (fractional coordinates):
Tb: 0.0000 0.0000 0.0000
Ce: 0.1679 0.8321 0.5000
Ce: 0.5000 0.5000 0.5000
Ce: 0.8321 0.1679 0.5000
Pr: 0.3338 0.6662 0.0000
Pr: 0.6662 0.3338 0.0000
As: 0.0846 0.4123 0.2542
As: 0.2423 0.2423 0.7445
As: 0.4123 0.0846 0.2542
As: 0.5877 0.9154 0.7458
As: 0.7577 0.7577 0.2555
As: 0.9154 0.5877 0.7458

=====

DFT (PBE-GGA) results for TbCe2Pr3As6 after structural relaxation.

## Properties
Energy of formation (eV per atom): -1.4869

Unit cell a=7.3519 b=7.3519 c=7.3639 alpha=99.58 beta=99.58 gamma=120.00
Atoms (fractional coordinates):
Tb: 0.0000 0.0000 0.0000
Ce: 0.3334 0.6666 0.0000
Ce: 0.6666 0.3334 0.0000
Pr: 0.1668 0.8332 0.5000
Pr: 0.5000 0.5000 0.5000
Pr: 0.8332 0.1668 0.5000
As: 0.0801 0.4131 0.2402
As: 0.2526 0.2526 0.7589
As: 0.4131 0.0801 0.2402
As: 0.5869 0.9199 0.7598
As: 0.7474 0.7474 0.2411
As: 0.9199 0.5869 0.7598

=====

DFT (PBE-GGA) results for Tb2CePrAs4 after structural relaxation.

## Properties
Energy of formation (eV per atom): -1.5016

Unit cell a=7.2662 b=4.2018 c=7.2794 alpha=90.00 beta=109.43 gamma=90.00
Atoms (fractional coordinates):
Tb: 0.0000 0.0000 0.0000
Tb: 0.0000 0.5000 0.5000
Ce: 0.5000 0.0000 0.5000
Pr: 0.5000 0.5000 0.0000
As: 0.2429 0.0000 0.7433
As: 0.2448 0.5000 0.2518
As: 0.7552 0.5000 0.7482
As: 0.7571 0.0000 0.2567

=====

Listing density of states at the Fermi level for the structures above in their given order: 0.74 0.15 1.74 0.96 0.94 0.43 1.04 1.37 0.98 1.42 0.98 0.78 states/eV per atom.
Listing total energy for the structures above in their given order: -51.8 -40.2 -25.6 -76.7 -76.7 -46.7 -42.5 -51.7 -76.4 -77.5 -76.6 -50.6 eV per cell.